! Y3SnAs2Rh9 (PBE-GGA, optimized geometry); values from VASP
&SYSTEM
  ibrav = 0, nat = 15, ntyp = 4
/
ATOMIC_SPECIES
Rh 102.91 Rh.upf
Y 88.91 Y.upf
As 74.92 As.upf
Sn 118.71 Sn.upf
ATOMIC_POSITIONS crystal
Rh 0.500 0.000 0.000
Y 0.333 0.667 0.743
Rh 0.718 0.859 0.267
As 0.333 0.667 0.169
Y 0.667 0.333 0.257
Rh 0.141 0.282 0.267
Y 0.000 0.000 0.000
Sn 0.000 0.000 0.500
Rh 0.141 0.859 0.267
Rh 0.859 0.141 0.733
Rh 0.282 0.141 0.733
As 0.667 0.333 0.831
Rh 0.500 0.500 0.000
Rh 0.000 0.500 0.000
Rh 0.859 0.718 0.733
CELL_PARAMETERS angstrom
-5.999 -1.646 0.695
2.958 -1.157 -5.393
2.665 -8.339 3.252
! V, Å³ per atom: 21.12
! Calculated formation energy, meV per atom: -438
! Calculated total energy, eV per atom: -7.029

=====

! V2NiCCl (PBE-GGA, optimized geometry); values from VASP
&SYSTEM
  ibrav = 0, nat = 5, ntyp = 4
/
ATOMIC_SPECIES
V 50.94 V.upf
Cl 35.45 Cl.upf
Ni 58.69 Ni.upf
C 12.01 C.upf
ATOMIC_POSITIONS crystal
V 0.000 0.000 0.500
Cl 0.000 0.500 0.000
V 0.500 0.000 0.000
Ni 0.500 0.500 0.500
C 0.000 0.000 0.000
CELL_PARAMETERS angstrom
-0.209 3.872 0.066
-1.510 -0.162 4.689
3.686 0.178 1.193
! Formation energy (no corrections), meV/atom: 898
! V, Å³ per atom: 14.83
! Calculated total energy, eV per atom: -6.120

=====

! LiCe2AgS4 (PBE-GGA, optimized geometry); values from VASP
&SYSTEM
  ibrav = 0, nat = 8, ntyp = 4
/
ATOMIC_SPECIES
S 32.06 S.upf
Ce 140.12 Ce.upf
Ag 107.87 Ag.upf
Li 6.94 Li.upf
ATOMIC_POSITIONS crystal
S 0.000 0.254 0.253
S 0.500 0.253 0.744
Ce 0.500 0.000 0.500
Ce 0.000 0.000 0.000
S 0.000 0.746 0.747
S 0.500 0.747 0.256
Ag 0.500 0.500 0.000
Li 0.000 0.500 0.500
CELL_PARAMETERS angstrom
-2.051 3.573 -0.003
-5.047 -2.900 -2.956
-4.627 -2.652 4.733
! Formation energy (no corrections), meV/atom: -1464
! V, Å³ per atom: 22.30
! Calculated total energy, eV per atom: -5.607

=====

! Nd5Sm2Cd5 (PBE-GGA, optimized geometry); values from VASP
&SYSTEM
  ibrav = 0, nat = 12, ntyp = 3
/
ATOMIC_SPECIES
Sm 150.36 Sm.upf
Nd 144.24 Nd.upf
Cd 112.41 Cd.upf
ATOMIC_POSITIONS crystal
Sm 0.023 0.047 0.755
Nd 0.809 0.619 0.398
Nd 0.346 0.693 0.899
Cd 0.000 0.000 0.000
Cd 0.682 0.364 0.833
Cd 0.150 0.299 0.339
Cd 0.318 0.636 0.167
Nd 0.500 0.000 0.500
Cd 0.850 0.701 0.661
Nd 0.654 0.307 0.101
Nd 0.191 0.381 0.602
Sm 0.977 0.953 0.245
CELL_PARAMETERS angstrom
3.522 0.000 0.000
-1.761 7.936 1.814
0.000 -1.628 12.553
! V, Å³ per atom: 30.10
! Calculated formation energy, meV per atom: -124
! Calculated total energy, eV per atom: -3.278

=====

! KBeZn4 (PBE-GGA, optimized geometry); values from VASP
&SYSTEM
  ibrav = 0, nat = 6, ntyp = 3
/
ATOMIC_SPECIES
Zn 65.41 Zn.upf
K 39.10 K.upf
Be 9.01 Be.upf
ATOMIC_POSITIONS crystal
Zn 0.376 0.871 0.376
K 0.000 0.000 0.000
Zn 0.376 0.376 0.376
Zn 0.376 0.376 0.871
Zn 0.871 0.376 0.376
Be 0.750 0.750 0.750
CELL_PARAMETERS angstrom
0.000 3.795 3.795
3.795 0.000 3.795
3.795 3.795 0.000
! V, Å³ per atom: 18.22
! Calculated formation energy, meV per atom: 412
! Calculated total energy, eV per atom: -1.241

=====

! NbTe8Pd2 (PBE-GGA, optimized geometry); values from VASP
&SYSTEM
  ibrav = 0, nat = 11, ntyp = 3
/
ATOMIC_SPECIES
Te 127.60 Te.upf
Pd 106.42 Pd.upf
Nb 92.91 Nb.upf
ATOMIC_POSITIONS crystal
Te 0.729 0.684 0.191
Pd 0.255 0.184 0.184
Te 0.729 0.191 0.684
Te 0.271 0.809 0.316
Nb 0.000 0.000 0.000
Te 0.177 0.384 0.384
Te 0.823 0.616 0.616
Pd 0.745 0.816 0.816
Te 0.257 0.817 0.817
Te 0.271 0.316 0.809
Te 0.743 0.183 0.183
CELL_PARAMETERS angstrom
-4.092 -0.769 3.862
0.929 -7.843 0.182
4.995 -2.625 5.528
! Formation energy (no corrections), meV/atom: -85
! V, Å³ per atom: 29.14
! Calculated total energy, eV per atom: -4.230

=====

! Tb4Zn2Pd (PBE-GGA, optimized geometry); values from VASP
&SYSTEM
  ibrav = 0, nat = 7, ntyp = 3
/
ATOMIC_SPECIES
Tb 158.93 Tb.upf
Pd 106.42 Pd.upf
Zn 65.41 Zn.upf
ATOMIC_POSITIONS crystal
Tb 0.000 0.252 0.252
Pd 0.500 0.500 0.500
Tb 0.500 0.000 0.500
Zn 0.000 0.753 0.247
Zn 0.000 0.247 0.753
Tb 0.000 0.748 0.748
Tb 0.500 0.500 0.000
CELL_PARAMETERS angstrom
-3.473 1.885 -2.987
-0.396 -5.371 -2.928
-3.995 0.007 4.650
! V, Å³ per atom: 25.19
! Calculated formation energy, meV per atom: -353
! Calculated total energy, eV per atom: -4.104

=====

! LiSbPbI2 (PBE-GGA, optimized geometry); values from VASP
&SYSTEM
  ibrav = 0, nat = 5, ntyp = 4
/
ATOMIC_SPECIES
Sb 121.76 Sb.upf
Li 6.94 Li.upf
Pb 207.20 Pb.upf
I 126.90 I.upf
ATOMIC_POSITIONS crystal
Sb 0.000 0.000 0.500
Li 0.000 0.000 0.000
Pb 0.500 0.500 0.500
I 0.000 0.500 0.000
I 0.500 0.000 0.000
CELL_PARAMETERS angstrom
-2.350 -0.606 -4.799
3.504 -3.892 -1.225
-3.365 -3.696 2.115
! Formation energy (no corrections), meV/atom: -62
! V, Å³ per atom: 31.39
! Calculated total energy, eV per atom: -2.631